# 1
Th8ReGe3Se4 | PBE-GGA | optimized geometry

POSCAR file:
```
Th8ReGe3Se4
1.0
4.2799 2.4710 6.9657
-4.2799 2.4710 6.9657
0.0000 -4.9420 6.9657
Th Re Ge Se
8 1 3 4
Direct
0.2470 0.2470 0.2470 Th
0.2580 0.7360 0.7360 Th
0.2640 0.2640 0.7420 Th
0.2640 0.7420 0.2640 Th
0.7360 0.2580 0.7360 Th
0.7360 0.7360 0.2580 Th
0.7420 0.2640 0.2640 Th
0.7530 0.7530 0.7530 Th
0.5000 0.5000 0.5000 Re
0.0000 0.0000 0.5000 Ge
0.0000 0.5000 0.0000 Ge
0.5000 0.0000 0.0000 Ge
0.0000 0.0000 0.0000 Se
0.0000 0.5000 0.5000 Se
0.5000 0.0000 0.5000 Se
0.5000 0.5000 0.0000 Se
```

Results
* formation energy from raw total energies: -1091 meV per atom
* symmetry: R-3m

=====

# 2
ZnSiW2I | PBE-GGA | optimized geometry

POSCAR file:
```
ZnSiW2I
1.0
4.7401 0.0000 0.0000
0.0000 4.7401 0.0000
0.0000 0.0000 4.4071
Zn Si W I
1 1 2 1
Direct
0.0000 0.0000 0.0000 Zn
0.0000 0.0000 0.5000 Si
0.0000 0.5000 0.5000 W
0.5000 0.0000 0.5000 W
0.5000 0.5000 0.0000 I
```

Results
* formation energy from raw total energies: 1436 meV per atom
* symmetry: P4/mmm

=====

# 3
AgHg4Rh2 | PBE-GGA | optimized geometry

POSCAR file:
```
AgHg4Rh2
1.0
-2.6306 2.6306 6.7635
2.6306 -2.6306 6.7635
2.6306 2.6306 -6.7635
Ag Hg Rh
1 4 2
Direct
0.0000 0.0000 0.0000 Ag
0.0000 0.5000 0.5000 Hg
0.2107 0.2107 0.0000 Hg
0.5000 0.0000 0.5000 Hg
0.7893 0.7893 0.0000 Hg
0.4094 0.4094 0.0000 Rh
0.5906 0.5906 0.0000 Rh
```

Results
* E_form: 0.58 eV per atom
* symmetry: I4/mmm

=====

# 4
BeCuAs | PBE-GGA | optimized geometry

POSCAR file:
```
BeCuAs
1.0
5.7631 0.0000 0.0000
-2.5383 5.2993 0.0000
-1.2875 -2.1882 5.6189
Be Cu As
4 4 4
Direct
0.0000 0.0000 0.0000 Be
0.1448 0.7071 0.0775 Be
0.5366 0.9504 0.4105 Be
0.8219 0.7997 0.5562 Be
0.3094 0.1390 0.7051 Cu
0.5009 0.5951 0.0886 Cu
0.5440 0.8703 0.7800 Cu
0.9750 0.2767 0.7919 Cu
0.1217 0.6591 0.4329 As
0.4612 0.1330 0.1170 As
0.7359 0.5374 0.7796 As
0.9615 0.1110 0.3686 As
```

Results
* E_form: 0.12 eV per atom
* symmetry: P1

=====

# 5
Pr3Ge | PBE-GGA | optimized geometry

POSCAR file:
```
Pr3Ge
1.0
12.5749 0.0000 0.0000
0.0000 12.5749 0.0000
0.0000 0.0000 6.2079
Pr Ge
24 8
Direct
0.0292 0.5718 0.2434 Pr
0.0718 0.9708 0.7434 Pr
0.1137 0.2185 0.0155 Pr
0.1356 0.6679 0.7318 Pr
0.1678 0.8644 0.2318 Pr
0.2185 0.3863 0.4845 Pr
0.2815 0.1137 0.4845 Pr
0.3322 0.6356 0.2318 Pr
0.3644 0.8322 0.7318 Pr
0.3863 0.2815 0.0155 Pr
0.4282 0.5292 0.7434 Pr
0.4708 0.9282 0.2434 Pr
0.5292 0.0718 0.7566 Pr
0.5718 0.4708 0.2566 Pr
0.6137 0.7185 0.9845 Pr
0.6356 0.1678 0.2682 Pr
0.6679 0.3644 0.7682 Pr
0.7185 0.8863 0.5155 Pr
0.7815 0.6137 0.5155 Pr
0.8322 0.1356 0.7682 Pr
0.8644 0.3322 0.2682 Pr
0.8863 0.7815 0.9845 Pr
0.9282 0.0292 0.2566 Pr
0.9708 0.4282 0.7566 Pr
0.0472 0.2073 0.5256 Ge
0.2073 0.4528 0.9744 Ge
0.2927 0.0472 0.9744 Ge
0.4528 0.2927 0.5256 Ge
0.5472 0.7073 0.4744 Ge
0.7073 0.9528 0.0256 Ge
0.7927 0.5472 0.0256 Ge
0.9528 0.7927 0.4744 Ge
```

Results
* E_form: -0.45 eV per atom
* symmetry: P4_2/n
* offset from the most stable computed form: 0.0 meV per atom

=====

# 6
TlReRh2 | PBE-GGA | optimized geometry

POSCAR file:
```
TlReRh2
1.0
4.7840 0.0000 0.0000
0.0000 4.7840 0.0000
0.0000 0.0000 2.8620
Tl Re Rh
1 1 2
Direct
0.0000 0.0000 0.0000 Tl
0.5000 0.5000 0.0000 Re
0.0000 0.5000 0.5000 Rh
0.5000 0.0000 0.5000 Rh
```

Results
* E_form: 0.45 eV per atom
* symmetry: P4/mmm
* offset from the most stable computed form: 370.4 meV per atom

=====

Number 1: total energy -117.054 eV for the cell shown. Number 2: total energy -26.971 eV for the cell shown. Number 3: total energy -14.695 eV for the cell shown. Number 4: total energy -48.488 eV for the cell shown. Number 5: total energy -165.943 eV for the cell shown. Number 6: total energy -27.715 eV for the cell shown.